The following is a PBEsol calculation of Ba2ZrSb after structural relaxation, from Alexandria.

Structure (extended XYZ):
```
4
Lattice="-2.835 3.054 -0.353 -3.355 -2.670 3.847 5.753 2.780 2.634" Properties=species:S:1:pos:R:3 pbc="T T T"
Ba -0.523 3.069 5.986
Ba 0.103 3.228 2.330
Sb -2.914 0.396 2.046
Zr -0.636 -0.170 3.640
```

**Density of states at the Fermi level**: 5.4 states/eV per cell
**Space-group type**: Imm2, No. 44
**DFT total energy**: -18.64 eV per cell
**Formation energy (no corrections)**: -174 meV/atom
**Total magnetization**: 0.00 μB/cell
**Crystal system**: orthorhombic